Material: CoHAu3
Method: DFT, PBE
State: relaxed

The structure in extended XYZ format:
```
5
Lattice="4.134 0.000 0.000 0.000 4.134 0.000 0.000 0.000 4.134" Properties=species:S:1:pos:R:3 pbc="T T T"
Co 0.000 0.000 0.000
H 2.067 2.067 2.067
Au 0.000 2.067 2.067
Au 2.067 0.000 2.067
Au 2.067 2.067 0.000
```

Raw total energy = -18.036 eV/cell
Magnetization = 1.695 μB/cell
ΔE to the lowest computed polymorph = 0 meV/atom